# 1
A plane-wave DFT calculation with PBE was carried out for Li3TlPb3 after structural relaxation.

Output
Uncorrected energy: -2.45 eV/atom
ΔE_f: 294.8 meV per atom

a b c (Å): 7.578 7.578 7.578
angles (deg): 90.00 90.00 90.00
Fractional positions:
Li: 0.000 0.250 0.500
Li: 0.000 0.750 0.500
Li: 0.250 0.500 0.000
Li: 0.500 0.000 0.250
Li: 0.500 0.000 0.750
Li: 0.750 0.500 0.000
Tl: 0.000 0.000 0.000
Tl: 0.500 0.500 0.500
Pb: 0.000 0.500 0.250
Pb: 0.000 0.500 0.750
Pb: 0.250 0.000 0.500
Pb: 0.500 0.250 0.000
Pb: 0.500 0.750 0.000
Pb: 0.750 0.000 0.500

***

# 2
A plane-wave DFT calculation with PBE was carried out for Li2TlPb after structural relaxation.

Output
Uncorrected energy: -2.65 eV/atom
ΔE_f: -174.7 meV per atom

a b c (Å): 5.049 5.049 6.079
angles (deg): 99.07 99.07 37.98
Fractional positions:
Li: 0.248 0.248 0.238
Li: 0.752 0.752 0.762
Tl: 0.000 0.000 0.500
Pb: 0.500 0.500 0.000

***

> Look up the uncorrected energy of the second one.

-2.65 eV/atom

***

> Which value of ΔE_f does entry 2 give?

-174.7 meV per atom

***

> Which value of uncorrected energy does entry 2 give?

-2.65 eV/atom